(1)
LiMn2Be after structural relaxation. Source: Alexandria via LeMat-Bulk, functional PBE.

The structure belongs to space group P4/mmm (No. 123); the cell edges are 3.994, 3.994 and 2.844 Å and the angles 90.00°, 90.00° and 90.00°. Symmetry generates all atoms from Li at (0.000, 0.000, 0.000), Mn at (0.000, 0.500, 0.500) and Be at (0.500, 0.500, 0.000).


(2)
LiMn2Be after structural relaxation. Source: Alexandria via LeMat-Bulk, functional PBE.

The structure belongs to space group Cmmm (No. 65); the cell edges are 4.602, 7.823 and 2.258 Å and the angles 90.00°, 90.00° and 90.00°. Symmetry generates all atoms from Li at (0.000, 0.000, 0.000), Mn at (0.250, 0.250, 0.500) and Be at (0.000, 0.500, 0.000).


(3)
LiMn2Be after structural relaxation. Source: Alexandria via LeMat-Bulk, functional PBE.

The structure belongs to space group Immm (No. 71); the cell edges are 2.793, 3.688 and 7.942 Å and the angles 90.00°, 90.00° and 90.00°. Symmetry generates all atoms from Li at (0.000, 0.000, 0.000), Mn at (0.000, 0.500, 0.243) and Be at (0.000, 0.000, 0.500).


(4)
LiMnBe4 after structural relaxation. Source: Alexandria via LeMat-Bulk, functional PBE.

The structure belongs to space group F-43m (No. 216); the cell edges are 6.131, 6.131 and 6.131 Å and the angles 90.00°, 90.00° and 90.00°. Symmetry generates all atoms from Li at (0.000, 0.000, 0.000), Mn at (0.250, 0.250, 0.750) and Be at (0.124, 0.124, 0.376).


Quick rundown of energy of formation from the pure elements, same order as above: 273; 280; 261; -3 meV per atom
Quick rundown of E_tot, same order as above: -5.72; -5.71; -5.73; -4.33 eV/atom
Quick rundown of size of the total moment, same order as above: 5.889; 0.049; 0.949; 11.858 μB/cell